(1)
# BaEr2In2Hg2

A relaxed BaEr2In2Hg2 crystal (GGA-PBE, Alexandria via LeMat-Bulk).

a = 5.0388 Å, b = 5.0388 Å, c = 29.2147 Å
α = 90.00°, β = 90.00°, γ = 120.00°
Space group R-3m (No. 166, hexagonal axes)
One atom of each set of equivalent atoms:
Ba1 0.0000 0.0000 0.0000 x3
Er1 0.0000 0.0000 0.1356 x6
In1 0.0000 0.0000 0.2526 x6
Hg1 0.0000 0.0000 0.4418 x6

Properties
The value obtained for the electronic total energy is -2.8119 eV per atom. As for the volume: 642 Å³/cell.



(2)
# BaErInHg

A relaxed BaErInHg crystal (GGA-PBE, Alexandria via LeMat-Bulk).

a = 7.987 Å, b = 7.987 Å, c = 7.987 Å
α = 90.00°, β = 90.00°, γ = 90.00°
Space group F-43m (No. 216)
One atom of each set of equivalent atoms:
Ba1 0.000 0.000 0.000 x4
Er1 0.000 0.000 0.500 x4
In1 0.250 0.250 0.250 x4
Hg1 0.250 0.250 0.750 x4

Properties
The value obtained for the electronic total energy is -2.7017 eV per atom. As for the volume: 509 Å³/cell.



(3)
# BaLiErHg

A relaxed BaLiErHg crystal (GGA-PBE, Alexandria via LeMat-Bulk).

a = 7.902 Å, b = 7.902 Å, c = 7.902 Å
α = 90.00°, β = 90.00°, γ = 90.00°
Space group F-43m (No. 216)
One atom of each set of equivalent atoms:
Ba1 0.000 0.000 0.000 x4
Li1 0.250 0.250 0.750 x4
Er1 0.000 0.000 0.500 x4
Hg1 0.250 0.250 0.250 x4

Properties
The value obtained for the electronic total energy is -2.2515 eV per atom. As for the volume: 493 Å³/cell.



- Which of these has the lowest volume?
  BaLiErHg



- Among the records above, which one has the lowest volume?
  BaLiErHg



Please write out number 3 again, unchanged.
# BaLiErHg

A relaxed BaLiErHg crystal (GGA-PBE, Alexandria via LeMat-Bulk).

a = 7.902 Å, b = 7.902 Å, c = 7.902 Å
α = 90.00°, β = 90.00°, γ = 90.00°
Space group F-43m (No. 216)
One atom of each set of equivalent atoms:
Ba1 0.000 0.000 0.000 x4
Li1 0.250 0.250 0.750 x4
Er1 0.000 0.000 0.500 x4
Hg1 0.250 0.250 0.250 x4

Properties
The value obtained for the electronic total energy is -2.2515 eV per atom. As for the volume: 493 Å³/cell.



- What is the formula in the first record?
  BaEr2In2Hg2